(1)
Compound: Ba2TaRh
Source: Alexandria via LeMat-Bulk
Functional: SCAN
Structure: single point on PBEsol structure

Cell: 5.202 5.202 5.202 Å, 60.00 60.00 60.00°
Each line ends with the local moment (μB).
Fractional positions:
Ba (0.250, 0.250, 0.250)  0.06
Ba (0.000, 0.000, 0.000)  0.10
Ta (0.750, 0.750, 0.750)  0.88
Rh (0.500, 0.500, 0.500)  -0.04

Output
- formation energy from the elements (meV/atom) = 1027
- total magnetization (Bohr magnetons per cell) = 1.50
- relative energy among the computed polymorphs (meV/atom) = 693.8

=====

(2)
Compound: Cr3As
Source: Alexandria via LeMat-Bulk
Functional: SCAN
Structure: single point on PBEsol structure

Cell: 4.520 4.520 4.520 Å, 90.00 90.00 90.00°
Fractional positions:
As (0.000, 0.000, 0.000)
Cr (0.000, 0.250, 0.500)
Cr (0.000, 0.750, 0.500)
Cr (0.750, 0.500, 0.000)
Cr (0.250, 0.500, 0.000)
Cr (0.500, 0.000, 0.250)
Cr (0.500, 0.000, 0.750)
As (0.500, 0.500, 0.500)

Output
- formation energy from the elements (meV/atom) = -98
- total magnetization (Bohr magnetons per cell) = 0.00

=====

(3)
Compound: MoSe2Br
Source: Alexandria via LeMat-Bulk
Functional: SCAN
Structure: single point on PBEsol structure

Cell: 4.694 4.694 4.694 Å, 60.00 60.00 60.00°
Each line ends with the local moment (μB).
Fractional positions:
Se (0.750, 0.750, 0.750)  -0.17
Mo (0.500, 0.500, 0.500)  2.11
Se (0.250, 0.250, 0.250)  -0.17
Br (0.000, 0.000, 0.000)  -0.03

Output
- ΔE_f (raw) (meV/atom) = 614
- total magnetization (Bohr magnetons per cell) = 1.80
- relative energy among the computed polymorphs (meV/atom) = 857.1